(1)
! GGA-PBE CoNi2RhN, relaxed; values from VASP
&SYSTEM
  ibrav = 0, nat = 5, ntyp = 4
/
ATOMIC_SPECIES
Ni 58.69 Ni.upf
N 14.01 N.upf
Rh 102.91 Rh.upf
Co 58.93 Co.upf
ATOMIC_POSITIONS crystal
Ni 0.000 0.000 0.500
Ni 0.500 0.000 0.000
N 0.000 0.000 0.000
Rh 0.500 0.500 0.500
Co 0.000 0.500 0.000
CELL_PARAMETERS angstrom
3.805 0.000 0.000
0.000 3.749 0.000
0.000 0.000 3.805
! Crystal system: tetragonal
! Symmetry: P4/mmm, No. 123
! ΔE_f (raw) (kJ/mol of formula units): 58

(2)
! GGA-PBE ZnPd12Au3, relaxed; values from VASP
&SYSTEM
  ibrav = 0, nat = 16, ntyp = 3
/
ATOMIC_SPECIES
Zn 65.41 Zn.upf
Pd 106.42 Pd.upf
Au 196.97 Au.upf
ATOMIC_POSITIONS crystal
Zn 0.000 0.000 0.000
Pd 0.500 0.500 0.000
Pd 0.500 0.500 0.246
Pd 0.500 0.500 0.500
Pd 0.500 0.500 0.754
Pd 0.500 0.000 0.119
Pd 0.500 0.000 0.373
Pd 0.500 0.000 0.627
Pd 0.500 0.000 0.881
Pd 0.000 0.500 0.119
Pd 0.000 0.500 0.373
Pd 0.000 0.500 0.627
Pd 0.000 0.500 0.881
Au 0.000 0.000 0.246
Au 0.000 0.000 0.500
Au 0.000 0.000 0.754
CELL_PARAMETERS angstrom
-3.113 -1.879 -1.646
2.225 -3.282 -0.461
-4.501 -5.059 14.287
! Crystal system: tetragonal
! ΔH_f (0 K) (eV per atom): -0.115
! Symmetry: P4/mmm, No. 123

(3)
! GGA-PBE Cs2BaICl6, relaxed; values from VASP
&SYSTEM
  ibrav = 0, nat = 10, ntyp = 4
/
ATOMIC_SPECIES
Cs 132.91 Cs.upf
I 126.90 I.upf
Ba 137.33 Ba.upf
Cl 35.45 Cl.upf
ATOMIC_POSITIONS crystal
Cs 0.750 0.250 0.500
Cs 0.250 0.750 0.500
I 0.500 0.500 0.000
Ba 0.000 0.000 0.000
Cl 0.221 0.221 0.558
Cl 0.779 0.779 0.442
Cl 0.263 0.263 0.000
Cl 0.737 0.737 0.000
Cl 0.737 0.263 0.000
Cl 0.263 0.737 0.000
CELL_PARAMETERS angstrom
-6.812 2.302 3.697
2.689 -3.176 6.932
0.809 5.485 6.914
! Crystal system: tetragonal
! Symmetry: I4/mmm, No. 139
! ΔE_f (raw) (kJ/mol of formula units): -1376

(4)
! GGA-PBE SrIrPb2, relaxed; values from VASP
&SYSTEM
  ibrav = 0, nat = 8, ntyp = 3
/
ATOMIC_SPECIES
Pb 207.20 Pb.upf
Sr 87.62 Sr.upf
Ir 192.22 Ir.upf
ATOMIC_POSITIONS crystal
Pb 0.727 0.125 0.250
Pb 0.023 0.625 0.250
Pb 0.375 0.273 0.750
Pb 0.875 0.977 0.750
Sr 0.500 0.500 0.000
Sr 0.250 0.750 0.500
Ir 0.000 0.000 0.000
Ir 0.750 0.250 0.500
CELL_PARAMETERS angstrom
-1.846 4.717 -0.821
-2.349 -0.125 4.561
5.630 6.031 5.952
! Crystal system: tetragonal
! ΔH_f (0 K) (eV per atom): 0.201
! Symmetry: I-42d, No. 122

Please write out number 1 again, unchanged.
! GGA-PBE CoNi2RhN, relaxed; values from VASP
&SYSTEM
  ibrav = 0, nat = 5, ntyp = 4
/
ATOMIC_SPECIES
Ni 58.69 Ni.upf
N 14.01 N.upf
Rh 102.91 Rh.upf
Co 58.93 Co.upf
ATOMIC_POSITIONS crystal
Ni 0.000 0.000 0.500
Ni 0.500 0.000 0.000
N 0.000 0.000 0.000
Rh 0.500 0.500 0.500
Co 0.000 0.500 0.000
CELL_PARAMETERS angstrom
3.805 0.000 0.000
0.000 3.749 0.000
0.000 0.000 3.805
! Crystal system: tetragonal
! Symmetry: P4/mmm, No. 123
! ΔE_f (raw) (kJ/mol of formula units): 58